Entry from Alexandria via LeMat-Bulk: an optimized crystal structure of Sr2AcAu2 (GGA-PBE).

Summary:
**Space-group type**: P2_1/m
**Magnetic moment**: 0.0 μB per cell
**Total DFT energy (no corrections)**: -0.25199 Ry per atom

abc: 4.749 6.397 12.971
angles: 114.44 90.00 90.00
Atoms (fractional coordinates):
1 Sr 0.250 0.765 0.878
2 Sr 0.750 0.235 0.122
3 Sr 0.250 0.295 0.545
4 Sr 0.750 0.705 0.455
5 Ac 0.250 0.815 0.207
6 Ac 0.750 0.185 0.793
7 Au 0.250 0.870 0.640
8 Au 0.750 0.130 0.360
9 Au 0.250 0.339 0.976
10 Au 0.750 0.661 0.024